! PBE-GGA K2PuAs2S6, relaxed; values from VASP
! Theoretical density   3.37 g/cm3
! ΔE_f (raw)   -0.712 eV per atom
! D(E_F)   4.6 states/eV per cell
! Total energy   -5.311 eV/atom
&SYSTEM
  ibrav = 0, nat = 11, ntyp = 4
/
ATOMIC_SPECIES
K 39.10 K.upf
Pu 244.00 Pu.upf
As 74.92 As.upf
S 32.06 S.upf
ATOMIC_POSITIONS crystal
K 0.2491 0.2491 0.2269
K 0.7509 0.7509 0.7731
Pu 0.5000 0.5000 0.0000
As 0.0286 0.0286 0.3540
As 0.9714 0.9714 0.6460
S 0.1620 0.6862 0.1694
S 0.3138 0.8380 0.8306
S 0.3297 0.3297 0.7220
S 0.6703 0.6703 0.2780
S 0.6862 0.1620 0.1694
S 0.8380 0.3138 0.8306
CELL_PARAMETERS angstrom
7.2445 -3.5004 0.0000
7.2445 3.5004 0.0000
-3.1240 0.0000 6.4583